(1)
Ho2HPdPt6 PBE relaxed; symmetry = R-3m, No. 166; spin magnetization = 0.00 μB/f.u.; energy = -6.08 eV/atom
1.0
-4.0575 -1.5684 3.3996
-1.0038 -5.9800 -3.9548
0.1091 -7.1151 1.3324
Pt Ho Pd H
6 2 1 1
direct
0.2287 0.2756 0.5423
0.7246 0.7714 0.0465
0.7713 0.7244 0.4577
0.2287 0.7714 0.0465
0.7713 0.2286 0.9535
0.2754 0.2286 0.9535
0.2110 0.7888 0.5782
0.7890 0.2112 0.4218
0.5000 0.5000 0.0000
0.0000 0.0000 0.0000


(2)
HoHPd2Rh PBE relaxed; symmetry = P4/mmm, No. 123; spin magnetization = 0.00 μB/f.u.; energy = -5.80 eV/atom
1.0
-2.0795 -1.5409 -3.2276
-2.4446 -2.0834 2.5697
-2.5824 3.1988 0.1367
H Pd Rh Ho
1 2 1 1
direct
0.0000 0.0000 0.0000
0.0000 0.0000 0.5000
0.0000 0.5000 0.0000
0.5000 0.0000 0.0000
0.5000 0.5000 0.5000


(3)
HoH8PdRh4 PBE relaxed; symmetry = R3m, No. 160; spin magnetization = 0.00 μB/f.u.; energy = -4.92 eV/atom
1.0
5.6403 0.0000 0.0000
2.8202 4.8847 0.0000
2.8202 1.6282 4.5984
H Rh Pd Ho
8 4 1 1
direct
0.2648 0.7092 0.3169
0.7092 0.2648 0.3169
0.7657 0.7657 0.7030
0.7092 0.7092 0.3169
0.2235 0.8515 0.7016
0.2235 0.2235 0.7016
0.2256 0.2256 0.3231
0.8515 0.2235 0.7016
0.0016 0.0016 0.4899
0.0016 0.5068 0.4899
0.6360 0.6360 0.0921
0.5068 0.0016 0.4899
0.9977 0.9977 0.0070
0.3835 0.3835 0.8495